(1)
The following is a DFT calculation (GGA-PBEsol) of a geometry-optimized TlGeF3 structure.

a = 4.5639 Å, b = 4.5525 Å, c = 4.8084 Å
α = 103.56°, β = 96.55°, γ = 87.32°
Last column: nearest neighbours and their distance in Å.
Atoms (fractional coordinates):
Tl: 0.0793 0.0993 0.9378  4 F 2.73-3.01
Ge: 0.5108 0.4873 0.4937  3 F 1.87-1.89
F: 0.4910 0.9122 0.5612  1 Ge 1.88
F: 0.4915 0.5240 0.8871  1 Ge 1.87
F: 0.9274 0.4872 0.5602  1 Ge 1.89

Output
raw formation energy	-1.9728	eV/atom
space group	P1 (1)
VASP energy	-4.643	eV per atom
ρ	5.750	g/cm³

=====

(2)
The following is a DFT calculation (GGA-PBEsol) of a geometry-optimized Y2GeF structure.

a = 4.8120 Å, b = 4.8120 Å, c = 4.8120 Å
α = 60.00°, β = 60.00°, γ = 60.00°
Last column: nearest neighbours and their distance in Å.
Atoms (fractional coordinates):
F: 0.0000 0.0000 0.0000  8 Y 2.95
Y: 0.7500 0.7500 0.7500  4 Ge 2.95, 4 F 2.95
Y: 0.2500 0.2500 0.2500  4 Ge 2.95, 4 F 2.95
Ge: 0.5000 0.5000 0.5000  8 Y 2.95

Output
raw formation energy	-1.4258	eV/atom
space group	Fm-3m (225)
VASP energy	-6.553	eV per atom
ρ	5.679	g/cm³

=====

(3)
The following is a DFT calculation (GGA-PBEsol) of a geometry-optimized ZnGeF2 structure.

a = 4.2289 Å, b = 4.2289 Å, c = 4.2289 Å
α = 60.00°, β = 60.00°, γ = 60.00°
Last column: nearest neighbours and their distance in Å.
Atoms (fractional coordinates):
F: 0.2500 0.2500 0.2500  4 Ge 2.59, 4 Zn 2.59
F: 0.7500 0.7500 0.7500  4 Zn 2.59, 4 Ge 2.59
Ge: 0.5000 0.5000 0.5000  8 F 2.59
Zn: 0.0000 0.0000 0.0000  8 F 2.59

Output
raw formation energy	-0.9481	eV/atom
space group	Fm-3m (225)
VASP energy	-3.542	eV per atom
ρ	5.466	g/cm³